(1)
The following is a DFT calculation (PBE) of a relaxed AcCeGeCl crystal.

Distance to the lowest polymorph of the same formula in eV per atom: 0.134
Final energy in eV per atom: -4.994
Symmetry: Amm2 (38)

Cell: 6.158 5.342 5.342 Å, 51.96 90.00 90.00°
Positions (direct):
Ac1 0.000 0.000 0.000
Ce1 0.500 0.694 0.694
Ge1 0.500 0.005 0.005
Cl1 0.000 0.696 0.696


(2)
The following is a DFT calculation (PBE) of a relaxed AcCeGeCl crystal.

Distance to the lowest polymorph of the same formula in eV per atom: 0.000
Final energy in eV per atom: -5.129
Symmetry: F-43m (216)

Cell: 5.303 5.303 5.303 Å, 60.00 60.00 60.00°
Positions (direct):
Ac1 0.000 0.000 0.000
Ce1 0.500 0.500 0.500
Ge1 0.250 0.250 0.250
Cl1 0.750 0.750 0.750


(3)
The following is a DFT calculation (PBE) of a relaxed AcCeIrCl crystal.

Final energy in eV per atom: -6.368
Symmetry: R3m (160)

Cell: 8.245 8.245 8.245 Å, 29.43 29.43 29.43°
Positions (direct):
Ac1 0.000 0.000 0.000
Ce1 0.800 0.800 0.800
Ir1 0.407 0.407 0.407
Cl1 0.226 0.226 0.226


(4)
The following is a DFT calculation (PBE) of a relaxed AcCeOsCl crystal.

Final energy in eV per atom: -6.610
Symmetry: R3m (160)

Cell: 8.245 8.245 8.245 Å, 28.93 28.93 28.93°
Positions (direct):
Ac1 0.000 0.000 0.000
Ce1 0.199 0.199 0.199
Os1 0.588 0.588 0.588
Cl1 0.772 0.772 0.772


(5)
The following is a DFT calculation (PBE) of a relaxed AcCeRhCl crystal.

Final energy in eV per atom: -5.940
Symmetry: R3m (160)

Cell: 8.287 8.287 8.287 Å, 28.92 28.92 28.92°
Positions (direct):
Ac1 0.000 0.000 0.000
Ce1 0.802 0.802 0.802
Rh1 0.408 0.408 0.408
Cl1 0.228 0.228 0.228


(6)
The following is a DFT calculation (PBE) of a relaxed AcCeRuCl crystal.

Final energy in eV per atom: -6.220
Symmetry: R3m (160)

Cell: 8.306 8.306 8.306 Å, 28.29 28.29 28.29°
Positions (direct):
Ac1 0.000 0.000 0.000
Ce1 0.198 0.198 0.198
Ru1 0.585 0.585 0.585
Cl1 0.769 0.769 0.769


> Which value of final energy does entry 3 give?

-6.368 eV per atom